1.
The following is a PBE-GGA calculation of crystalline KMn2Ru at its relaxed geometry, from the Alexandria database.

Cell: 2.9361 2.9361 8.6588 Å, 90.00 90.00 90.00°
With the nearest neighbours (Å) after each atom.
Space group P4mm (No. 99)
One atom of each set of equivalent atoms:
1 K 0.0000 0.0000 0.0000 [1 per cell]  4 K 2.94
2 Mn 0.0000 0.0000 0.5309 [1 per cell]  4 Ru 2.47, 4 Mn 2.61
3 Mn 0.5000 0.5000 0.3486 [1 per cell]  4 Mn 2.61
4 Ru 0.5000 0.5000 0.6859 [1 per cell]  4 Mn 2.47

Summary:
Its energy above the most stable polymorph in this dataset is 0.067 eV/atom. For the formation enthalpy at 0 K, the calculation gives 0.673 eV/atom. The density of states at the Fermi level is 3.54 states/eV per cell.

---

2.
The following is a PBE-GGA calculation of crystalline KMn2Ru at its relaxed geometry, from the Alexandria database.

Cell: 6.1859 6.1859 6.1859 Å, 90.00 90.00 90.00°
With the nearest neighbours (Å) after each atom.
Space group Fm-3m (No. 225)
One atom of each set of equivalent atoms:
1 K 0.0000 0.0000 0.0000 [4 per cell]  8 Mn 2.68
2 Mn 0.2500 0.2500 0.2500 [8 per cell]  4 K 2.68, 4 Ru 2.68
3 Ru 0.0000 0.0000 0.5000 [4 per cell]  8 Mn 2.68

Summary:
Its energy above the most stable polymorph in this dataset is 1.007 eV/atom. For the formation enthalpy at 0 K, the calculation gives 1.612 eV/atom. The density of states at the Fermi level is 17.11 states/eV per cell.

---

3.
The following is a PBE-GGA calculation of crystalline K2MnRu at its relaxed geometry, from the Alexandria database.

Cell: 20.5548 3.4576 3.5415 Å, 90.00 99.64 90.00°
With the nearest neighbours (Å) after each atom.
Space group C2/m (No. 12)
One atom of each set of equivalent atoms:
1 K 0.1464 0.0000 0.1478 [4 per cell]  2 Ru 3.43, 2 Mn 3.44-3.46, 4 K 3.46-3.54
2 Mn 0.0000 0.0000 0.5000 [2 per cell]  4 Ru 2.47
3 Ru 0.0000 0.5000 0.0000 [2 per cell]  4 Mn 2.47

Summary:
Its energy above the most stable polymorph in this dataset is 0.054 eV/atom. For the formation enthalpy at 0 K, the calculation gives 0.708 eV/atom. The density of states at the Fermi level is 8.27 states/eV per cell.

---

4.
The following is a PBE-GGA calculation of crystalline KMn2Ru at its relaxed geometry, from the Alexandria database.

Cell: 2.8638 5.6726 10.5162 Å, 90.00 90.00 90.00°
With the nearest neighbours (Å) after each atom.
Space group Immm (No. 71)
One atom of each set of equivalent atoms:
1 K 0.0000 0.0000 0.0000 [2 per cell]  2 K 2.86, 4 Ru 3.18
2 Mn 0.0000 0.5000 0.1991 [4 per cell]  2 Ru 2.54
3 Ru 0.0000 0.0000 0.5000 [2 per cell]  4 Mn 2.54

Summary:
Its energy above the most stable polymorph in this dataset is 0.429 eV/atom. For the formation enthalpy at 0 K, the calculation gives 1.035 eV/atom. The density of states at the Fermi level is 7.59 states/eV per cell.

---

5.
The following is a PBE-GGA calculation of crystalline KMnRu2 at its relaxed geometry, from the Alexandria database.

Cell: 2.8633 2.8633 9.3759 Å, 90.00 90.00 90.00°
With the nearest neighbours (Å) after each atom.
Space group P4mm (No. 99)
One atom of each set of equivalent atoms:
1 K 0.0000 0.0000 0.0000 [1 per cell]  4 K 2.86
2 Mn 0.5000 0.5000 0.3416 [1 per cell]  4 Ru 2.70, 4 Mn 2.86
3 Ru 0.0000 0.0000 0.5315 [1 per cell]  8 Ru 2.60-2.86, 4 Mn 2.70
4 Ru 0.5000 0.5000 0.7047 [1 per cell]  8 Ru 2.60-2.86

Summary:
Its energy above the most stable polymorph in this dataset is 0.055 eV/atom. For the formation enthalpy at 0 K, the calculation gives 0.692 eV/atom. The density of states at the Fermi level is 4.89 states/eV per cell.

---

6.
The following is a PBE-GGA calculation of crystalline KMn2Ru at its relaxed geometry, from the Alexandria database.

Cell: 8.1999 2.8754 7.3699 Å, 90.00 94.00 90.00°
With the nearest neighbours (Å) after each atom.
Space group C2/m (No. 12)
One atom of each set of equivalent atoms:
1 K 0.0000 0.0000 0.0000 [2 per cell]  2 K 2.88
2 Mn 0.2333 0.0000 0.6469 [4 per cell]  3 Ru 2.51-2.57, 2 Mn 2.63
3 Ru 0.0000 0.5000 0.5000 [2 per cell]  6 Mn 2.51-2.57

Summary:
Its energy above the most stable polymorph in this dataset is 0.123 eV/atom. For the formation enthalpy at 0 K, the calculation gives 0.729 eV/atom. The density of states at the Fermi level is 7.13 states/eV per cell.

---

7.
The following is a PBE-GGA calculation of crystalline KMnRu2 at its relaxed geometry, from the Alexandria database.

Cell: 2.7477 5.3307 10.3806 Å, 90.00 90.00 90.00°
With the nearest neighbours (Å) after each atom.
Space group Imm2 (No. 44)
One atom of each set of equivalent atoms:
1 K 0.0000 0.0000 0.0000 [2 per cell]  2 K 2.75, 4 Ru 3.00
2 Mn 0.0000 0.5000 0.2069 [2 per cell]  2 Ru 2.60, 2 Mn 2.75
3 Ru 0.0000 0.0000 0.4948 [2 per cell]  4 Ru 2.54-2.75, 2 Mn 2.60
4 Ru 0.0000 0.5000 0.7893 [2 per cell]  4 Ru 2.54-2.75

Summary:
Its energy above the most stable polymorph in this dataset is 0.424 eV/atom. For the formation enthalpy at 0 K, the calculation gives 1.061 eV/atom. The density of states at the Fermi level is 9.24 states/eV per cell.

---

8.
The following is a PBE-GGA calculation of crystalline KMn4Ru at its relaxed geometry, from the Alexandria database.

Cell: 6.9904 6.9904 6.9904 Å, 90.00 90.00 90.00°
With the nearest neighbours (Å) after each atom.
Space group F-43m (No. 216)
One atom of each set of equivalent atoms:
1 K 0.0000 0.0000 0.0000 [4 per cell]  12 Mn 2.90, 4 Ru 3.03
2 Mn 0.1252 0.1252 0.3748 [16 per cell]  6 Mn 2.47-2.48
3 Ru 0.2500 0.2500 0.7500 [4 per cell]  12 Mn 2.90, 4 K 3.03

Summary:
For the formation enthalpy at 0 K, the calculation gives 1.059 eV/atom. The density of states at the Fermi level is 37.07 states/eV per cell.

---

9.
The following is a PBE-GGA calculation of crystalline KMn2Ru at its relaxed geometry, from the Alexandria database.

Cell: 4.9791 4.9791 2.8540 Å, 90.00 90.00 90.00°
With the nearest neighbours (Å) after each atom.
Space group P4/mmm (No. 123)
One atom of each set of equivalent atoms:
1 K 0.0000 0.0000 0.0000 [1 per cell]  2 K 2.85, 8 Mn 2.87
2 Mn 0.0000 0.5000 0.5000 [2 per cell]  2 Mn 2.85, 4 Ru 2.87, 4 K 2.87
3 Ru 0.5000 0.5000 0.0000 [1 per cell]  2 Ru 2.85, 8 Mn 2.87

Summary:
Its energy above the most stable polymorph in this dataset is 0.519 eV/atom. For the formation enthalpy at 0 K, the calculation gives 1.125 eV/atom. The density of states at the Fermi level is 4.02 states/eV per cell.

---

10.
The following is a PBE-GGA calculation of crystalline KMnRu2 at its relaxed geometry, from the Alexandria database.

Cell: 2.7563 4.9932 9.9705 Å, 90.00 90.00 90.00°
With the nearest neighbours (Å) after each atom.
Space group Immm (No. 71)
One atom of each set of equivalent atoms:
1 K 0.0000 0.0000 0.0000 [2 per cell]  2 K 2.76, 4 Mn 2.85
2 Mn 0.0000 0.0000 0.5000 [2 per cell]  4 Ru 2.54, 2 Mn 2.76
3 Ru 0.0000 0.5000 0.2143 [4 per cell]  2 Mn 2.54, 2 Ru 2.76

Summary:
Its energy above the most stable polymorph in this dataset is 0.308 eV/atom. For the formation enthalpy at 0 K, the calculation gives 0.944 eV/atom. The density of states at the Fermi level is 8.02 states/eV per cell.

---

11.
The following is a PBE-GGA calculation of crystalline KMn3Ru at its relaxed geometry, from the Alexandria database.

Cell: 4.9411 4.9411 4.9411 Å, 90.00 90.00 90.00°
With the nearest neighbours (Å) after each atom.
Space group Pm-3m (No. 221)
One atom of each set of equivalent atoms:
1 K 0.0000 0.0000 0.0000 [1 per cell]  12 Mn 3.49
2 Mn 0.0000 0.5000 0.5000 [3 per cell]  2 Ru 2.47
3 Ru 0.5000 0.5000 0.5000 [1 per cell]  6 Mn 2.47

Summary:
Its energy above the most stable polymorph in this dataset is 0.000 eV/atom. For the formation enthalpy at 0 K, the calculation gives 0.947 eV/atom. The density of states at the Fermi level is 5.61 states/eV per cell.

---

12.
The following is a PBE-GGA calculation of crystalline K2MnRu at its relaxed geometry, from the Alexandria database.

Cell: 7.8240 7.8240 7.8240 Å, 90.00 90.00 90.00°
With the nearest neighbours (Å) after each atom.
Space group Fm-3m (No. 225)
One atom of each set of equivalent atoms:
1 K 0.2500 0.2500 0.2500 [8 per cell]  4 Ru 3.39, 4 Mn 3.39
2 Mn 0.0000 0.0000 0.0000 [4 per cell]  8 K 3.39
3 Ru 0.0000 0.0000 0.5000 [4 per cell]  8 K 3.39

Summary:
Its energy above the most stable polymorph in this dataset is 0.968 eV/atom. For the formation enthalpy at 0 K, the calculation gives 1.622 eV/atom. The density of states at the Fermi level is 10.45 states/eV per cell.